(1)
PBE Sm4Nb6O19, relaxed; VASP energy = -8.774 eV per atom; crystal system = cubic; SG = I23, No. 197; spin magnetization = 2.11 Bohr magnetons per cell
1.0
-3.3077 -7.1005 1.7230
6.6975 0.9457 4.3100
-5.1753 5.8628 1.7807
O Sm Nb
19 4 6
Direct
0.6696 0.0000 0.6696 O
0.2543 0.9667 0.6418 O
0.6696 0.6696 0.0000 O
0.3250 0.6126 0.3582 O
0.0000 0.0000 0.0000 O
0.6418 0.2543 0.9667 O
0.3874 0.7124 0.7457 O
0.7457 0.3874 0.7124 O
0.3304 0.0000 0.3304 O
0.3304 0.3304 0.0000 O
0.3582 0.3250 0.6126 O
0.2876 0.6750 0.0333 O
0.0000 0.6696 0.6696 O
0.9667 0.6418 0.2543 O
0.7124 0.7457 0.3874 O
0.6750 0.0333 0.2876 O
0.6126 0.3582 0.3250 O
0.0000 0.3304 0.3304 O
0.0333 0.2876 0.6750 O
0.0000 0.7082 0.0000 Sm
0.7082 0.0000 0.0000 Sm
0.0000 0.0000 0.7082 Sm
0.2918 0.2918 0.2918 Sm
0.5000 0.8494 0.3494 Nb
0.6506 0.5000 0.1506 Nb
0.5000 0.1506 0.6506 Nb
0.8494 0.3494 0.5000 Nb
0.3494 0.5000 0.8494 Nb
0.1506 0.6506 0.5000 Nb


(2)
PBE SmNbO2, relaxed; VASP energy = -8.212 eV per atom; crystal system = tetragonal; SG = I4_1/amd, No. 141; spin magnetization = 1.64 Bohr magnetons per cell
1.0
4.0052 -0.4911 6.2096
6.6174 2.9123 -1.6036
-6.7736 2.8063 -1.0422
Nb O Sm
4 8 4
Direct
0.8750 0.1250 0.7500 Nb
0.8750 0.6250 0.7500 Nb
0.3750 0.1250 0.2500 Nb
0.8750 0.1250 0.2500 Nb
0.1741 0.3965 0.2224 O
0.1741 0.9517 0.7776 O
0.1465 0.4241 0.7224 O
0.5759 0.2983 0.7224 O
0.7017 0.4241 0.2776 O
0.6035 0.8259 0.7776 O
0.0483 0.8259 0.2224 O
0.5759 0.8535 0.2776 O
0.3750 0.6250 0.7500 Sm
0.3750 0.1250 0.7500 Sm
0.3750 0.6250 0.2500 Sm
0.8750 0.6250 0.2500 Sm


(3)
PBE Sm3NbO7, relaxed; energy relative to the lowest polymorph listed for this composition = 5 meV per atom; VASP energy = -8.599 eV per atom; crystal system = orthorhombic; SG = Pnma, No. 62; spin magnetization = 0.00 Bohr magnetons per cell
1.0
7.5997 0.0000 0.0000
0.0000 7.7017 0.0000
0.0000 0.0000 10.8422
O Sm Nb
28 12 4
Direct
0.5430 0.9063 0.8885 O
0.4570 0.0937 0.3885 O
0.7519 0.6659 0.7500 O
0.7573 0.7698 0.3833 O
0.5430 0.9063 0.6115 O
0.2573 0.7302 0.3833 O
0.0430 0.5937 0.6115 O
0.4631 0.5476 0.6260 O
0.0369 0.0476 0.3740 O
0.7427 0.2698 0.6167 O
0.4631 0.5476 0.8740 O
0.9631 0.9524 0.8740 O
0.7573 0.7698 0.1167 O
0.5369 0.4524 0.3740 O
0.2573 0.7302 0.1167 O
0.0369 0.0476 0.1260 O
0.0430 0.5937 0.8885 O
0.5369 0.4524 0.1260 O
0.7427 0.2698 0.8833 O
0.9570 0.4063 0.1115 O
0.9570 0.4063 0.3885 O
0.2519 0.8341 0.7500 O
0.2481 0.3341 0.2500 O
0.4570 0.0937 0.1115 O
0.9631 0.9524 0.6260 O
0.7481 0.1659 0.2500 O
0.2427 0.2302 0.6167 O
0.2427 0.2302 0.8833 O
0.7493 0.5397 0.9768 Sm
0.4856 0.2965 0.7500 Sm
0.2493 0.9603 0.9768 Sm
0.5144 0.7035 0.2500 Sm
0.9856 0.2035 0.7500 Sm
0.2507 0.4603 0.4768 Sm
0.7507 0.0397 0.4768 Sm
0.2493 0.9603 0.5232 Sm
0.7507 0.0397 0.0232 Sm
0.0144 0.7965 0.2500 Sm
0.2507 0.4603 0.0232 Sm
0.7493 0.5397 0.5232 Sm
0.0052 0.2532 0.2500 Nb
0.9948 0.7468 0.7500 Nb
0.4948 0.7532 0.7500 Nb
0.5052 0.2468 0.2500 Nb